one:
The following is a GGA-PBE calculation of an optimized crystal structure of Pm7Ir2Pt2, from the Alexandria database.

Cell lengths 4.063, 15.330, 9.497 Å; angles 90.00, 90.00, 90.00 degrees
Space group Imm2 (No. 44)
One atom of each set of equivalent atoms:
Pm 0.000 0.000 0.000 [2 per cell]
Pm 0.000 0.109 0.386 [4 per cell]
Pm 0.000 0.310 0.605 [4 per cell]
Pm 0.000 0.378 0.224 [4 per cell]
Ir 0.000 0.000 0.645 [2 per cell]
Ir 0.000 0.500 0.709 [2 per cell]
Pt 0.000 0.242 0.905 [4 per cell]

N(E_F): 19.109 states/eV/cell

***

two:
The following is a GGA-PBE calculation of an optimized crystal structure of Pm7Ir2Pt2, from the Alexandria database.

Cell lengths 8.718, 10.629, 7.035 Å; angles 90.00, 90.00, 90.00 degrees
Space group Cmmm (No. 65)
One atom of each set of equivalent atoms:
Pm 0.000 0.000 0.000 [2 per cell]
Pm 0.000 0.500 0.250 [4 per cell]
Pm 0.250 0.250 0.258 [8 per cell]
Ir 0.000 0.277 0.000 [4 per cell]
Pt 0.236 0.000 0.500 [4 per cell]

N(E_F): 17.058 states/eV/cell

***

one takes first place; second place is 0.146 eV/atom up.

***

one:
The following is a GGA-PBE calculation of an optimized crystal structure of PmPuIrPt, from the Alexandria database.

Cell lengths 7.021, 7.021, 7.021 Å; angles 90.00, 90.00, 90.00 degrees
Space group F-43m (No. 216)
One atom of each set of equivalent atoms:
Pm 0.000 0.000 0.000 [4 per cell]
Pu 0.000 0.000 0.500 [4 per cell]
Ir 0.250 0.250 0.750 [4 per cell]
Pt 0.250 0.250 0.250 [4 per cell]

N(E_F): 41.505 states/eV/cell

***

two:
The following is a GGA-PBE calculation of an optimized crystal structure of PmPuIrPt, from the Alexandria database.

Cell lengths 4.157, 3.896, 11.209 Å; angles 90.00, 90.00, 90.00 degrees
Space group Amm2 (No. 38)
One atom of each set of equivalent atoms:
Pm 0.000 0.000 0.000 [2 per cell]
Pu 0.500 0.000 0.720 [2 per cell]
Ir 0.000 0.000 0.260 [2 per cell]
Pt 0.500 0.000 0.439 [2 per cell]

N(E_F): 21.202 states/eV/cell

***

two takes first place; second place is 0.098 eV/atom up.